Computed, not measured: a geometry-optimized RePbSe4 structure at the PBE-GGA level of DFT.

Summary:
Formation energy from raw total energies = 1146 meV per atom

Lattice parameters (Å, degrees): 8.193 8.193 8.193 90.00 90.00 90.00
Space group F-43m (No. 216)
Inequivalent atoms, fractional coordinates:
Re 0.000 0.000 0.000 x4
Pb 0.250 0.250 0.250 x4
Se 0.127 0.127 0.627 x16

Computed, not measured: a geometry-optimized Ta2WAu structure at the PBE-GGA level of DFT.

Summary:
ΔH_f (0 K) = -46 meV per atom
Energy above the lowest structure with this stoichiometry = 0.00 eV per formula unit

Lattice parameters (Å, degrees): 3.339 4.516 9.240 90.00 90.00 90.00
Space group Cmmm (No. 65)
Inequivalent atoms, fractional coordinates:
Ta 0.000 0.000 0.245 x4
W 0.000 0.500 0.000 x2
Au 0.000 0.500 0.500 x2

Computed, not measured: a geometry-optimized LaHoCo structure at the PBE-GGA level of DFT.

Summary:
ΔH_f (0 K) = -70 meV per atom
Energy above the lowest structure with this stoichiometry = 0.24 eV per formula unit

Lattice parameters (Å, degrees): 3.9588 3.9588 6.3078 90.00 90.00 120.00
Space group P3m1 (No. 156)
Inequivalent atoms, fractional coordinates:
La 0.0000 0.0000 0.0000 x1
Ho 0.3333 0.6667 0.4582 x1
Co 0.6667 0.3333 0.2316 x1

Computed, not measured: a geometry-optimized Pr2Ni3Ge2 structure at the PBE-GGA level of DFT.

Summary:
ΔH_f (0 K) = -537 meV per atom

Lattice parameters (Å, degrees): 10.818 3.890 6.911 90.00 117.20 90.00
Space group C2/m (No. 12)
Inequivalent atoms, fractional coordinates:
Pr 0.131 0.000 0.257 x4
Ni 0.000 0.500 0.500 x2
Ni 0.144 0.500 0.924 x4
Ge 0.145 0.000 0.722 x4